A plane-wave DFT calculation with PBE was carried out for Na8Bi6Pb after structural relaxation.

Results
M_tot   0.0 Bohr magnetons per cell
Formation enthalpy at 0 K   -0.1601 eV per atom
Theoretical density   5.32 g/cm3
Crystal system   trigonal

a b c (Å): 9.8709 9.8709 18.2704
angles (deg): 90.00 90.00 120.00
With the nearest neighbours (Å) after each atom.
Space group R-3 (No. 148, hexagonal axes)
Unique sites:
Na (0.0000, 0.0000, 0.1178) [6 per cell]  6 Bi 3.31-3.52
Na (0.0450, 0.8035, 0.6384) [18 per cell]  3 Bi 3.21-3.44, 1 Pb 3.35
Bi (0.0076, 0.3086, 0.1937) [18 per cell]  5 Na 3.21-3.52, 3 Bi 3.32-3.53, 1 Pb 3.42
Pb (0.0000, 0.0000, 0.5000) [3 per cell]  6 Na 3.35, 6 Bi 3.42


A plane-wave DFT calculation with PBE was carried out for NaBi6Pb12 after structural relaxation.

Results
M_tot   0.0 Bohr magnetons per cell
Formation enthalpy at 0 K   0.0434 eV per atom
Theoretical density   10.19 g/cm3
Crystal system   trigonal

a b c (Å): 13.6436 13.6436 11.4104
angles (deg): 90.00 90.00 120.00
With the nearest neighbours (Å) after each atom.
Space group R-3 (No. 148, hexagonal axes)
Unique sites:
Na (0.0000, 0.0000, 0.0000) [3 per cell]  6 Bi 3.35, 6 Pb 3.59
Bi (0.0824, 0.1648, 0.7606) [18 per cell]  1 Na 3.35, 2 Bi 3.37, 7 Pb 3.47-3.72
Pb (0.9999, 0.2631, 0.9999) [18 per cell]  4 Bi 3.47-3.51, 6 Pb 3.52-3.61, 1 Na 3.59
Pb (0.0768, 0.5390, 0.1154) [18 per cell]  5 Pb 3.20-3.53, 2 Bi 3.57-3.58


A plane-wave DFT calculation with PBE was carried out for NaBiPb2 after structural relaxation.

Results
M_tot   0.0 Bohr magnetons per cell
Formation enthalpy at 0 K   -0.1384 eV per atom
Theoretical density   8.82 g/cm3
Crystal system   tetragonal

a b c (Å): 5.0313 5.0313 4.8084
angles (deg): 90.00 90.00 90.00
With the nearest neighbours (Å) after each atom.
Space group P4/mmm (No. 123)
Unique sites:
Na (0.0000, 0.0000, 0.0000) [1 per cell]  8 Pb 3.48, 4 Bi 3.56
Bi (0.5000, 0.5000, 0.0000) [1 per cell]  8 Pb 3.48, 4 Na 3.56
Pb (0.0000, 0.5000, 0.5000) [2 per cell]  4 Na 3.48, 4 Bi 3.48, 4 Pb 3.56


A plane-wave DFT calculation with PBE was carried out for NaBi3Pb5 after structural relaxation.

Results
M_tot   0.0 Bohr magnetons per cell
Formation enthalpy at 0 K   -0.0435 eV per atom
Theoretical density   9.71 g/cm3
Crystal system   hexagonal

a b c (Å): 9.8546 9.8546 6.8572
angles (deg): 90.00 90.00 120.00
With the nearest neighbours (Å) after each atom.
Space group P6_3/mcm (No. 193)
Unique sites:
Na (0.0000, 0.0000, 0.0000) [2 per cell]  2 Na 3.43, 6 Pb 3.70, 6 Bi 3.75
Bi (0.0000, 0.3390, 0.2500) [6 per cell]  5 Pb 3.23-3.43
Pb (0.0000, 0.3330, 0.7500) [6 per cell]  5 Bi 3.23-3.43
Pb (0.3333, 0.6667, 0.0000) [4 per cell]  8 Pb 3.43-3.71, 6 Bi 3.68


A plane-wave DFT calculation with PBE was carried out for Na2BiPb3 after structural relaxation.

Results
M_tot   0.0 Bohr magnetons per cell
Formation enthalpy at 0 K   -0.1259 eV per atom
Theoretical density   7.79 g/cm3
Crystal system   orthorhombic

a b c (Å): 3.4752 5.4298 9.9022
angles (deg): 90.00 90.00 90.00
With the nearest neighbours (Å) after each atom.
Space group Pmm2 (No. 25)
Unique sites:
Na (0.0000, 0.0000, 0.0000) [1 per cell]  2 Na 3.48, 10 Pb 3.59-3.81, 2 Bi 3.74
Na (0.0000, 0.5000, 0.4908) [1 per cell]  2 Na 3.48, 4 Bi 3.58, 8 Pb 3.62-3.78
Bi (0.5000, 0.0000, 0.3345) [1 per cell]  3 Pb 3.20-3.22, 2 Bi 3.48, 4 Na 3.58
Pb (0.5000, 0.0000, 0.6578) [1 per cell]  1 Bi 3.20, 4 Pb 3.20-3.48
Pb (0.5000, 0.5000, 0.1595) [1 per cell]  2 Bi 3.22, 3 Pb 3.27-3.48, 4 Na 3.59
Pb (0.5000, 0.5000, 0.8296) [1 per cell]  5 Pb 3.20-3.48


A plane-wave DFT calculation with PBE was carried out for NaBi2Pb6 after structural relaxation.

Results
M_tot   0.0 Bohr magnetons per cell
Formation enthalpy at 0 K   -0.0028 eV per atom
Theoretical density   9.77 g/cm3
Crystal system   monoclinic

a b c (Å): 16.3950 3.5240 12.0649
angles (deg): 90.00 124.76 90.00
With the nearest neighbours (Å) after each atom.
Space group C2/m (No. 12)
Unique sites:
Na (0.0000, 0.0000, 0.0000) [2 per cell]  2 Pb 3.21, 4 Bi 3.38, 2 Na 3.52
Bi (0.1498, 0.5000, 0.2874) [4 per cell]  7 Pb 3.36-3.62, 2 Na 3.38, 2 Bi 3.52
Pb (0.0528, 0.0000, 0.7484) [4 per cell]  9 Pb 3.44-3.74, 2 Bi 3.56, 1 Na 3.60
Pb (0.1328, 0.5000, 0.5518) [4 per cell]  3 Bi 3.36-3.42, 7 Pb 3.44-3.74
Pb (0.2281, 0.0000, 0.1008) [4 per cell]  1 Na 3.21, 8 Pb 3.40-3.52


A plane-wave DFT calculation with PBE was carried out for NaBi3Pb3 after structural relaxation.

Results
M_tot   0.0 Bohr magnetons per cell
Formation enthalpy at 0 K   0.2037 eV per atom
Theoretical density   6.19 g/cm3
Crystal system   cubic

a b c (Å): 8.8042 8.8042 8.8042
angles (deg): 90.00 90.00 90.00
With the nearest neighbours (Å) after each atom.
Space group Pm-3n (No. 223)
Unique sites:
Na (0.0000, 0.0000, 0.0000) [2 per cell]  12 Pb 4.92, 12 Bi 4.92
Bi (0.0000, 0.2500, 0.5000) [6 per cell]  4 Pb 3.11
Pb (0.0000, 0.5000, 0.2500) [6 per cell]  4 Bi 3.11


A plane-wave DFT calculation with PBE was carried out for NaBi3Pb2 after structural relaxation.

Results
M_tot   0.0 Bohr magnetons per cell
Formation enthalpy at 0 K   -0.0640 eV per atom
Theoretical density   9.25 g/cm3
Crystal system   monoclinic

a b c (Å): 18.6312 7.0428 6.0041
angles (deg): 90.00 104.17 90.00
With the nearest neighbours (Å) after each atom.
Space group C2/c (No. 15)
Unique sites:
Na (0.0000, 0.1290, 0.2500) [4 per cell]  8 Bi 3.37-3.67, 2 Na 3.51, 2 Pb 3.62
Bi (0.0000, 0.3924, 0.7500) [4 per cell]  4 Bi 3.36-3.49, 4 Na 3.37-3.67, 4 Pb 3.61-3.64
Bi (0.1512, 0.1164, 0.7012) [8 per cell]  5 Pb 3.28-3.63, 2 Na 3.38-3.40, 3 Bi 3.42-3.49
Pb (0.1681, 0.3705, 0.2115) [8 per cell]  7 Bi 3.28-3.64, 2 Pb 3.51, 1 Na 3.62


A plane-wave DFT calculation with PBE was carried out for NaBiPb6 after structural relaxation.

Results
M_tot   0.0 Bohr magnetons per cell
Formation enthalpy at 0 K   0.1345 eV per atom
Theoretical density   8.86 g/cm3
Crystal system   trigonal

a b c (Å): 8.9463 8.9463 11.9611
angles (deg): 90.00 90.00 120.00
With the nearest neighbours (Å) after each atom.
Space group R-3m (No. 166, hexagonal axes)
Unique sites:
Na (0.0000, 0.0000, 0.0000) [3 per cell]  6 Pb 3.24
Bi (0.0000, 0.0000, 0.5000) [3 per cell]  6 Pb 3.18
Pb (0.0801, 0.5401, 0.3763) [18 per cell]  1 Bi 3.18, 5 Pb 3.21-3.40, 1 Na 3.24


A plane-wave DFT calculation with PBE was carried out for NaBi4Pb7 after structural relaxation.

Results
M_tot   0.0 Bohr magnetons per cell
Formation enthalpy at 0 K   0.0780 eV per atom
Theoretical density   9.05 g/cm3
Crystal system   monoclinic

a b c (Å): 15.6242 5.8711 11.7352
angles (deg): 90.00 128.06 90.00
With the nearest neighbours (Å) after each atom.
Space group C2/m (No. 12)
Unique sites:
Na (0.0000, 0.0000, 0.0000) [2 per cell]  4 Pb 2.94-3.19
Bi (0.0728, 0.5000, 0.7824) [4 per cell]  8 Pb 3.27-3.49
Bi (0.2260, 0.5000, 0.3398) [4 per cell]  5 Pb 3.17-3.34
Pb (0.0000, 0.5000, 0.0000) [2 per cell]  2 Na 2.94
Pb (0.0789, 0.0000, 0.3233) [4 per cell]  3 Bi 3.17-3.49, 1 Na 3.19, 1 Pb 3.50
Pb (0.1457, 0.5000, 0.5742) [4 per cell]  5 Bi 3.27-3.66
Pb (0.2026, 0.0000, 0.8655) [4 per cell]  4 Bi 3.22-3.39, 1 Pb 3.50


A plane-wave DFT calculation with PBE was carried out for Na4BiPb after structural relaxation.

Results
M_tot   0.0 Bohr magnetons per cell
Formation enthalpy at 0 K   -0.2234 eV per atom
Theoretical density   4.95 g/cm3
Crystal system   orthorhombic

a b c (Å): 6.8498 18.6324 5.3412
angles (deg): 90.00 90.00 90.00
With the nearest neighbours (Å) after each atom.
Space group Cmcm (No. 63)
Unique sites:
Na (0.2487, 0.0417, 0.2500) [8 per cell]  5 Na 3.09-3.44
Na (0.2499, 0.2083, 0.2500) [8 per cell]  5 Na 3.09-3.43
Bi (0.0000, 0.3749, 0.2500) [4 per cell]  2 Pb 3.42, 12 Na 3.53-3.55
Pb (0.0000, 0.1243, 0.7500) [4 per cell]  2 Bi 3.42, 12 Na 3.52-3.56


A plane-wave DFT calculation with PBE was carried out for Na8BiPb2 after structural relaxation.

Results
M_tot   0.0 Bohr magnetons per cell
Formation enthalpy at 0 K   -0.2141 eV per atom
Theoretical density   3.90 g/cm3
Crystal system   orthorhombic

a b c (Å): 9.9488 12.8482 5.3758
angles (deg): 90.00 90.00 90.00
With the nearest neighbours (Å) after each atom.
Space group Cmmm (No. 65)
Unique sites:
Na (0.0000, 0.2483, 0.0000) [4 per cell]  2 Pb 3.18, 1 Bi 3.19, 4 Na 3.51
Na (0.1683, 0.1304, 0.5000) [8 per cell]  2 Pb 3.30-3.62, 7 Na 3.35-3.56, 2 Bi 3.58
Na (0.1678, 0.5000, 0.0000) [4 per cell]  1 Bi 3.31, 7 Na 3.34-3.64, 4 Pb 3.52
Bi (0.0000, 0.0000, 0.0000) [2 per cell]  4 Na 3.19-3.31
Pb (0.0000, 0.3798, 0.5000) [4 per cell]  1 Pb 3.09, 4 Na 3.18-3.30